[1]
Below is a geometry-optimized TbGeTe3Au structure, with properties calculated at the PBE level.

Results
SG ... Cmcm (63)
Energy ... -4.222 eV per atom

```
TbGeTe3Au
1.0
2.076 -7.512 0.000
2.076 7.512 0.000
0.000 0.000 11.342
Au Ge Tb Te
2 2 2 6
Direct
0.965 0.035 0.250
0.035 0.965 0.750
0.324 0.676 0.250
0.676 0.324 0.750
0.500 0.500 0.000
0.500 0.500 0.500
0.850 0.150 0.054
0.590 0.410 0.250
0.850 0.150 0.446
0.150 0.850 0.554
0.410 0.590 0.750
0.150 0.850 0.946
```


[2]
Below is a geometry-optimized La2Sn2PdPt3 structure, with properties calculated at the PBE level.

Results
SG ... P3m1 (156)
Energy ... -6.089 eV per atom

```
La2Sn2PdPt3
1.0
-4.518 -0.655 0.939
2.104 -2.594 -3.250
2.296 -6.394 6.590
La Pd Pt Sn
2 1 3 2
Direct
0.333 0.667 0.252
0.000 0.000 0.749
0.000 0.000 0.082
0.000 0.000 0.414
0.333 0.667 0.583
0.333 0.667 0.923
0.667 0.333 0.501
0.667 0.333 0.996
```